{
  "formula": "CrOs2Pb",
  "functional": "SCAN",
  "state": "single point on PBEsol structure",
  "cell": [[2.994, 0.000, 0.000], [0.000, 4.519, 0.000], [0.000, 0.000, 4.606]],
  "species": ["Cr", "Os", "Os", "Pb"],
  "fractional_positions": [[0.000, 0.000, 0.000], [0.000, 0.500, 0.500], [0.500, 0.500, 0.000], [0.500, 0.000, 0.500]],
  "total_magnetization_mub_per_fu": 2.84,
  "vol_a3_per_cell": 62.3,
  "sg": "Pmmm (47)",
  "formation_enthalpy_0k_ev_per_fu": 3.8
}

***

{
  "formula": "CrOs2Pb",
  "functional": "SCAN",
  "state": "single point on PBEsol structure",
  "cell": [[2.903, 0.000, 0.000], [0.000, 2.903, 0.000], [0.000, 0.000, 8.010]],
  "species": ["Cr", "Os", "Os", "Pb"],
  "fractional_positions": [[0.000, 0.000, 0.000], [0.000, 0.000, 0.422], [0.500, 0.500, 0.220], [0.500, 0.500, 0.698]],
  "total_magnetization_mub_per_fu": 4.05,
  "vol_a3_per_cell": 67.5,
  "sg": "P4mm (99)",
  "formation_enthalpy_0k_ev_per_fu": 2.2
}

***

{
  "formula": "CrOs2Pb",
  "functional": "SCAN",
  "state": "single point on PBEsol structure",
  "cell": [[2.838, 0.000, 0.000], [0.000, 4.562, 0.000], [0.000, 0.000, 9.787]],
  "species": ["Cr", "Cr", "Os", "Os", "Os", "Os", "Pb", "Pb"],
  "fractional_positions": [[0.000, 0.000, 0.000], [0.500, 0.500, 0.500], [0.000, 0.500, 0.284], [0.000, 0.500, 0.716], [0.500, 0.000, 0.216], [0.500, 0.000, 0.784], [0.000, 0.000, 0.500], [0.500, 0.500, 0.000]],
  "total_magnetization_mub_per_fu": 2.24,
  "vol_a3_per_cell": 126.7,
  "sg": "Immm (71)",
  "formation_enthalpy_0k_ev_per_fu": 2.9
}

***

{
  "formula": "Cr3OsPb",
  "functional": "SCAN",
  "state": "single point on PBEsol structure",
  "cell": [[4.928, 0.000, 0.000], [0.000, 4.928, 0.000], [0.000, 0.000, 4.928]],
  "species": ["Cr", "Cr", "Cr", "Os", "Pb"],
  "fractional_positions": [[0.000, 0.000, 0.500], [0.000, 0.500, 0.000], [0.500, 0.000, 0.000], [0.500, 0.500, 0.500], [0.000, 0.000, 0.000]],
  "total_magnetization_mub_per_fu": 9.99,
  "vol_a3_per_cell": 119.7,
  "sg": "Pm-3m (221)",
  "formation_enthalpy_0k_ev_per_fu": 10.5
}

***

{
  "formula": "CrOsPt",
  "functional": "SCAN",
  "state": "single point on PBEsol structure",
  "cell": [[2.682, 0.000, 0.000], [-1.341, 2.323, 0.000], [0.000, 0.000, 6.519]],
  "species": ["Cr", "Os", "Pt"],
  "fractional_positions": [[0.000, 0.000, 0.000], [0.333, 0.667, 0.697], [0.667, 0.333, 0.329]],
  "total_magnetization_mub_per_fu": 0.00,
  "vol_a3_per_cell": 40.6,
  "sg": "P3m1 (156)",
  "formation_enthalpy_0k_ev_per_fu": 0.0
}

***

{
  "formula": "CrOsPt2",
  "functional": "SCAN",
  "state": "single point on PBEsol structure",
  "cell": [[3.770, 0.000, 0.000], [0.000, 3.770, 0.000], [0.000, 0.000, 7.823]],
  "species": ["Cr", "Cr", "Os", "Os", "Pt", "Pt", "Pt", "Pt"],
  "fractional_positions": [[0.000, 0.000, 0.000], [0.500, 0.500, 0.500], [0.000, 0.000, 0.500], [0.500, 0.500, 0.000], [0.000, 0.500, 0.250], [0.000, 0.500, 0.750], [0.500, 0.000, 0.250], [0.500, 0.000, 0.750]],
  "total_magnetization_mub_per_fu": 2.33,
  "vol_a3_per_cell": 111.2,
  "sg": "I4/mmm (139)",
  "formation_enthalpy_0k_ev_per_fu": -0.6
}

***

{
  "formula": "Cr2OsPt",
  "functional": "SCAN",
  "state": "single point on PBEsol structure",
  "cell": [[5.303, 0.000, 0.000], [0.000, 7.373, 0.000], [0.000, 0.000, 2.637]],
  "species": ["Cr", "Cr", "Cr", "Cr", "Os", "Os", "Pt", "Pt"],
  "fractional_positions": [[0.250, 0.250, 0.000], [0.250, 0.750, 0.000], [0.750, 0.250, 0.000], [0.750, 0.750, 0.000], [0.000, 0.000, 0.500], [0.500, 0.500, 0.500], [0.000, 0.500, 0.500], [0.500, 0.000, 0.500]],
  "total_magnetization_mub_per_fu": 0.00,
  "vol_a3_per_cell": 103.1,
  "sg": "Cmmm (65)",
  "formation_enthalpy_0k_ev_per_fu": -0.3
}

***

{
  "formula": "CrOsPt2",
  "functional": "SCAN",
  "state": "single point on PBEsol structure",
  "cell": [[6.114, 0.000, 0.000], [0.000, 6.114, 0.000], [0.000, 0.000, 6.114]],
  "species": ["Cr", "Cr", "Cr", "Cr", "Os", "Os", "Os", "Os", "Pt", "Pt", "Pt", "Pt", "Pt", "Pt", "Pt", "Pt"],
  "fractional_positions": [[0.000, 0.000, 0.000], [0.000, 0.500, 0.500], [0.500, 0.000, 0.500], [0.500, 0.500, 0.000], [0.250, 0.250, 0.750], [0.250, 0.750, 0.250], [0.750, 0.250, 0.250], [0.750, 0.750, 0.750], [0.000, 0.000, 0.500], [0.000, 0.500, 0.000], [0.250, 0.250, 0.250], [0.250, 0.750, 0.750], [0.500, 0.000, 0.000], [0.500, 0.500, 0.500], [0.750, 0.250, 0.750], [0.750, 0.750, 0.250]],
  "total_magnetization_mub_per_fu": 1.58,
  "vol_a3_per_cell": 228.5,
  "sg": "F-43m (216)",
  "formation_enthalpy_0k_ev_per_fu": 0.9
}

***

{
  "formula": "Cr2OsPt",
  "functional": "SCAN",
  "state": "single point on PBEsol structure",
  "cell": [[3.985, 0.000, 0.000], [0.000, 2.666, 0.000], [0.000, 0.000, 9.689]],
  "species": ["Cr", "Cr", "Cr", "Cr", "Os", "Os", "Pt", "Pt"],
  "fractional_positions": [[0.000, 0.000, 0.000], [0.000, 0.500, 0.500], [0.500, 0.000, 0.120], [0.500, 0.500, 0.620], [0.500, 0.000, 0.394], [0.500, 0.500, 0.894], [0.000, 0.000, 0.735], [0.000, 0.500, 0.235]],
  "total_magnetization_mub_per_fu": 0.39,
  "vol_a3_per_cell": 103.0,
  "sg": "Amm2 (38)",
  "formation_enthalpy_0k_ev_per_fu": -0.2
}

***

{
  "formula": "CrRe2Os",
  "functional": "SCAN",
  "state": "single point on PBEsol structure",
  "cell": [[2.708, 0.000, 0.000], [0.000, 2.708, 0.000], [0.000, 0.000, 7.477]],
  "species": ["Cr", "Re", "Re", "Os"],
  "fractional_positions": [[0.000, 0.000, 0.000], [0.000, 0.000, 0.492], [0.500, 0.500, 0.759], [0.500, 0.500, 0.232]],
  "relative_energy_mev_per_atom": 0.0,
  "total_magnetization_mub_per_fu": 0.00,
  "vol_a3_per_cell": 54.8,
  "sg": "P4mm (99)",
  "formation_enthalpy_0k_ev_per_fu": 0.4
}

***

{
  "formula": "CrRe2Os",
  "functional": "SCAN",
  "state": "single point on PBEsol structure",
  "cell": [[2.696, 0.000, 0.000], [0.000, 2.696, 0.000], [0.000, 0.000, 7.552]],
  "species": ["Cr", "Re", "Re", "Os"],
  "fractional_positions": [[0.000, 0.000, 0.000], [0.500, 0.500, 0.241], [0.500, 0.500, 0.759], [0.000, 0.000, 0.500]],
  "relative_energy_mev_per_atom": 27.0,
  "total_magnetization_mub_per_fu": 0.00,
  "vol_a3_per_cell": 54.9,
  "sg": "P4/mmm (123)",
  "formation_enthalpy_0k_ev_per_fu": 0.5
}

***

{
  "formula": "Cr2OsRh",
  "functional": "SCAN",
  "state": "single point on PBEsol structure",
  "cell": [[2.637, 0.000, 0.000], [-1.319, 2.284, 0.000], [0.000, 0.000, 25.376]],
  "species": ["Cr", "Cr", "Cr", "Cr", "Cr", "Cr", "Os", "Os", "Os", "Rh", "Rh", "Rh"],
  "fractional_positions": [[0.000, 0.000, 0.000], [0.000, 0.000, 0.252], [0.333, 0.667, 0.667], [0.333, 0.667, 0.918], [0.667, 0.333, 0.333], [0.667, 0.333, 0.585], [0.000, 0.000, 0.506], [0.333, 0.667, 0.172], [0.667, 0.333, 0.839], [0.000, 0.000, 0.746], [0.333, 0.667, 0.413], [0.667, 0.333, 0.079]],
  "relative_energy_mev_per_atom": 173.1,
  "total_magnetization_mub_per_fu": 0.00,
  "vol_a3_per_cell": 152.9,
  "sg": "R3m (160)",
  "formation_enthalpy_0k_ev_per_fu": 0.6
}

***

{
  "formula": "CrOsRh",
  "functional": "SCAN",
  "state": "single point on PBEsol structure",
  "cell": [[2.655, 0.000, 0.000], [0.000, 2.655, 0.000], [0.000, 0.000, 11.025]],
  "species": ["Cr", "Cr", "Os", "Os", "Rh", "Rh"],
  "fractional_positions": [[0.000, 0.000, 0.000], [0.500, 0.500, 0.500], [0.000, 0.000, 0.658], [0.500, 0.500, 0.158], [0.000, 0.000, 0.338], [0.500, 0.500, 0.838]],
  "total_magnetization_mub_per_fu": 0.00,
  "vol_a3_per_cell": 77.7,
  "sg": "I4mm (107)",
  "formation_enthalpy_0k_ev_per_fu": 0.1
}

***

{
  "formula": "Cr2OsRh",
  "functional": "SCAN",
  "state": "single point on PBEsol structure",
  "cell": [[3.943, 0.000, 0.000], [0.000, 2.639, 0.000], [0.000, 0.000, 9.642]],
  "species": ["Cr", "Cr", "Cr", "Cr", "Os", "Os", "Rh", "Rh"],
  "fractional_positions": [[0.000, 0.000, 0.000], [0.000, 0.500, 0.500], [0.500, 0.000, 0.125], [0.500, 0.500, 0.625], [0.500, 0.000, 0.392], [0.500, 0.500, 0.892], [0.000, 0.000, 0.735], [0.000, 0.500, 0.235]],
  "relative_energy_mev_per_atom": 40.0,
  "total_magnetization_mub_per_fu": 0.42,
  "vol_a3_per_cell": 100.3,
  "sg": "Amm2 (38)",
  "formation_enthalpy_0k_ev_per_fu": 0.1
}

***

{
  "formula": "Cr2OsRh",
  "functional": "SCAN",
  "state": "single point on PBEsol structure",
  "cell": [[3.730, 0.000, 0.000], [0.000, 3.730, 0.000], [0.000, 0.000, 7.224]],
  "species": ["Cr", "Cr", "Cr", "Cr", "Os", "Os", "Rh", "Rh"],
  "fractional_positions": [[0.000, 0.500, 0.250], [0.000, 0.500, 0.750], [0.500, 0.000, 0.250], [0.500, 0.000, 0.750], [0.000, 0.000, 0.000], [0.500, 0.500, 0.500], [0.000, 0.000, 0.500], [0.500, 0.500, 0.000]],
  "relative_energy_mev_per_atom": 33.2,
  "total_magnetization_mub_per_fu": 0.00,
  "vol_a3_per_cell": 100.5,
  "sg": "I4/mmm (139)",
  "formation_enthalpy_0k_ev_per_fu": 0.1
}